<one>
Computed, not measured: a crystal of KLiRh2 relaxed with PBEsol at the meta-GGA SCAN level of DFT. Values from VASP.

```
&SYSTEM
  ibrav = 0, nat = 4, ntyp = 3
/
ATOMIC_SPECIES
Rh 102.91 Rh.upf
K 39.10 K.upf
Li 6.94 Li.upf
CELL_PARAMETERS angstrom
2.736 0.000 0.046
0.000 4.868 0.000
-0.815 0.000 4.953
ATOMIC_POSITIONS crystal
Rh 0.810 0.000 0.720
K 0.500 0.500 0.000
Rh 0.190 0.000 0.280
Li 0.000 0.500 0.500
```

<two>
Computed, not measured: a crystal of KLiRh2 relaxed with PBEsol at the meta-GGA SCAN level of DFT. Values from VASP.

```
&SYSTEM
  ibrav = 0, nat = 4, ntyp = 3
/
ATOMIC_SPECIES
Rh 102.91 Rh.upf
K 39.10 K.upf
Li 6.94 Li.upf
CELL_PARAMETERS angstrom
-1.787 0.417 2.021
2.079 -3.241 2.507
2.926 4.923 -0.272
ATOMIC_POSITIONS crystal
Rh 0.275 0.275 0.549
K 0.500 0.000 0.000
Li 0.000 0.500 0.000
Rh 0.725 0.725 0.451
```

Q: Which of them is the least stable? A: <one>.

<one>
Computed, not measured: a crystal of KLiRh2 relaxed with PBEsol at the meta-GGA SCAN level of DFT. Values from VASP.

```
&SYSTEM
  ibrav = 0, nat = 4, ntyp = 3
/
ATOMIC_SPECIES
Rh 102.91 Rh.upf
K 39.10 K.upf
Li 6.94 Li.upf
CELL_PARAMETERS angstrom
2.639 0.000 0.000
0.000 2.639 0.000
0.000 0.000 9.280
ATOMIC_POSITIONS crystal
Rh 0.000 0.000 0.712
Rh 0.000 0.000 0.288
K 0.500 0.500 0.000
Li 0.500 0.500 0.500
```

<two>
Computed, not measured: a crystal of KLiRh2 relaxed with PBEsol at the meta-GGA SCAN level of DFT. Values from VASP.

```
&SYSTEM
  ibrav = 0, nat = 4, ntyp = 3
/
ATOMIC_SPECIES
K 39.10 K.upf
Rh 102.91 Rh.upf
Li 6.94 Li.upf
CELL_PARAMETERS angstrom
-3.014 3.085 1.499
-4.136 -1.339 1.396
-1.080 0.171 4.433
ATOMIC_POSITIONS crystal
K 0.500 0.500 0.500
Rh 0.000 0.000 0.000
Rh 0.750 0.750 0.750
Li 0.250 0.250 0.250
```

Q: Which of them is the least stable? A: <two>.

<one>
Computed, not measured: a crystal of KLiSb relaxed with PBEsol at the meta-GGA SCAN level of DFT. Values from VASP.

```
&SYSTEM
  ibrav = 0, nat = 3, ntyp = 3
/
ATOMIC_SPECIES
Li 6.94 Li.upf
Sb 121.76 Sb.upf
K 39.10 K.upf
CELL_PARAMETERS angstrom
-1.164 4.602 -1.641
-0.780 0.797 -4.897
-4.633 0.970 -1.679
ATOMIC_POSITIONS crystal
Li 0.250 0.250 0.250
Sb 0.000 0.000 0.000
K 0.500 0.500 0.500
```

<two>
Computed, not measured: a crystal of KLiSb relaxed with PBEsol at the meta-GGA SCAN level of DFT. Values from VASP.

```
&SYSTEM
  ibrav = 0, nat = 3, ntyp = 3
/
ATOMIC_SPECIES
Sb 121.76 Sb.upf
Li 6.94 Li.upf
K 39.10 K.upf
CELL_PARAMETERS angstrom
5.378 0.000 0.000
2.689 4.657 0.000
2.689 1.552 4.391
ATOMIC_POSITIONS crystal
Sb 0.500 0.500 0.500
Li 0.000 0.000 0.000
K 0.250 0.250 0.250
```

<three>
Computed, not measured: a crystal of KLiSb relaxed with PBEsol at the meta-GGA SCAN level of DFT. Values from VASP.

```
&SYSTEM
  ibrav = 0, nat = 3, ntyp = 3
/
ATOMIC_SPECIES
Li 6.94 Li.upf
K 39.10 K.upf
Sb 121.76 Sb.upf
CELL_PARAMETERS angstrom
-2.604 -0.934 -1.949
1.251 -4.237 0.360
-2.669 2.002 5.545
ATOMIC_POSITIONS crystal
Li 0.725 0.725 0.450
K 0.988 0.988 0.976
Sb 0.287 0.287 0.574
```

Q: Which of them is the least stable? A: <two>.